No. 1
Compound: MgCoAg3
Source: Alexandria
Functional: GGA-PBEsol
Structure: relaxed

Summary:
uncorrected energy = -2.61 eV per atom
symmetry = Pm-3m, No. 221
magnetization = 0.3865 μB per atom
calculated formation energy = 1.266 eV/atom

a = 4.6915 Å, b = 4.6915 Å, c = 4.6915 Å
α = 90.00°, β = 90.00°, γ = 90.00°
Last column: nearest neighbours and their distance in Å.
Fractional coordinates of all 5 atoms:
Co 0.5000 0.5000 0.5000  12 Ag 3.32
Mg 0.0000 0.0000 0.0000  6 Ag 2.35
Ag 0.0000 0.5000 0.0000  2 Mg 2.35
Ag 0.0000 0.0000 0.5000  2 Mg 2.35
Ag 0.5000 0.0000 0.0000  2 Mg 2.35

No. 2
Compound: Mg2CoAg
Source: Alexandria
Functional: GGA-PBEsol
Structure: relaxed

Summary:
uncorrected energy = -3.56 eV per atom
symmetry = P4/mmm, No. 123
magnetization = 0.1022 μB per atom
calculated formation energy = 0.056 eV/atom

a = 3.2856 Å, b = 4.3372 Å, c = 4.3355 Å
α = 90.00°, β = 90.00°, γ = 90.00°
Last column: nearest neighbours and their distance in Å.
Fractional coordinates of all 4 atoms:
Ag 0.5000 0.5000 0.0000  8 Mg 2.72
Mg 0.0000 0.0000 0.0000  4 Co 2.72, 4 Ag 2.72
Co 0.5000 0.0000 0.5000  8 Mg 2.72
Mg 0.0000 0.5000 0.5000  4 Ag 2.72, 4 Co 2.72

No. 3
Compound: Mg2CoAg
Source: Alexandria
Functional: GGA-PBEsol
Structure: relaxed

Summary:
uncorrected energy = -3.45 eV per atom
symmetry = F-43m, No. 216
magnetization = 0.0506 μB per atom
calculated formation energy = 0.171 eV/atom

a = 4.4500 Å, b = 4.4500 Å, c = 4.4500 Å
α = 60.00°, β = 60.00°, γ = 60.00°
Last column: nearest neighbours and their distance in Å.
Fractional coordinates of all 4 atoms:
Mg 0.0000 0.0000 0.0000  4 Co 2.73, 4 Mg 2.73
Ag 0.5000 0.5000 0.5000  4 Co 2.73, 4 Mg 2.73
Co 0.2500 0.2500 0.2500  4 Mg 2.73, 4 Ag 2.73
Mg 0.7500 0.7500 0.7500  4 Ag 2.73, 4 Mg 2.73

No. 4
Compound: MgCoTcAg2
Source: Alexandria
Functional: GGA-PBEsol
Structure: relaxed

Summary:
uncorrected energy = -4.60 eV per atom
symmetry = P4/mmm, No. 123
magnetization = 0.2391 μB per atom
calculated formation energy = 0.864 eV/atom

a = 4.1984 Å, b = 4.7343 Å, c = 4.7343 Å
α = 90.00°, β = 90.00°, γ = 90.00°
Last column: nearest neighbours and their distance in Å.
Fractional coordinates of all 5 atoms:
Tc 0.5000 0.0000 0.0000  2 Co 2.10
Mg 0.5000 0.5000 0.5000  8 Ag 3.16, 4 Tc 3.35
Co 0.0000 0.0000 0.0000  2 Tc 2.10
Ag 0.0000 0.0000 0.5000  2 Co 2.37
Ag 0.0000 0.5000 0.0000  2 Co 2.37

No. 5
Compound: MnCo2Ag
Source: Alexandria
Functional: GGA-PBEsol
Structure: relaxed

Summary:
uncorrected energy = -6.72 eV per atom
symmetry = F-43m, No. 216
magnetization = 1.7200 μB per atom
calculated formation energy = 0.418 eV/atom

a = 4.1624 Å, b = 4.1624 Å, c = 4.1624 Å
α = 60.00°, β = 60.00°, γ = 60.00°
Last column: nearest neighbours and their distance in Å.
Fractional coordinates of all 4 atoms:
Co 0.7500 0.7500 0.7500  4 Co 2.55, 4 Ag 2.55
Mn 0.2500 0.2500 0.2500  4 Co 2.55, 4 Ag 2.55
Co 0.0000 0.0000 0.0000  4 Mn 2.55, 4 Co 2.55
Ag 0.5000 0.5000 0.5000  4 Co 2.55, 4 Mn 2.55

No. 6
Compound: CoAg4Mo
Source: Alexandria
Functional: GGA-PBEsol
Structure: relaxed

Summary:
uncorrected energy = -4.59 eV per atom
symmetry = F-43m, No. 216
magnetization = 0.0590 μB per atom
calculated formation energy = 0.867 eV/atom

a = 5.1862 Å, b = 5.1862 Å, c = 5.1862 Å
α = 60.00°, β = 60.00°, γ = 60.00°
Last column: nearest neighbours and their distance in Å.
Fractional coordinates of all 6 atoms:
Ag 0.1253 0.6249 0.6249  6 Ag 2.59-2.60
Co 0.2500 0.2500 0.2500  12 Ag 3.04, 4 Mo 3.18
Mo 0.0000 0.0000 0.0000  12 Ag 3.04, 4 Co 3.18
Ag 0.6249 0.6249 0.6249  6 Ag 2.59-2.60
Ag 0.6249 0.1253 0.6249  6 Ag 2.59-2.60
Ag 0.6249 0.6249 0.1253  6 Ag 2.59-2.60

No. 7
Compound: CoAgN2
Source: Alexandria
Functional: GGA-PBEsol
Structure: relaxed

Summary:
energy relative to the elements, uncorrected = 0.53 eV/atom
uncorrected energy = -6.49 eV per atom
symmetry = R-3m, No. 166
magnetization = 0.0010 μB per atom

a = 2.7981 Å, b = 2.7981 Å, c = 6.3081 Å
α = 77.19°, β = 77.19°, γ = 60.00°
Last column: nearest neighbours and their distance in Å.
Fractional coordinates of all 4 atoms:
N 0.1122 0.1122 0.6634  3 Co 1.90, 1 Ag 2.05
Ag 0.0000 0.0000 0.0000  2 N 2.05
Co 0.5000 0.5000 0.5000  6 N 1.90
N 0.8878 0.8878 0.3366  3 Co 1.90, 1 Ag 2.05

No. 8
Compound: NaCoNiAg2
Source: Alexandria
Functional: GGA-PBEsol
Structure: relaxed

Summary:
uncorrected energy = -2.70 eV per atom
symmetry = P4/mmm, No. 123
magnetization = 0.3994 μB per atom
calculated formation energy = 1.684 eV/atom

a = 4.3447 Å, b = 4.5964 Å, c = 4.5964 Å
α = 90.00°, β = 90.00°, γ = 90.00°
Last column: nearest neighbours and their distance in Å.
Fractional coordinates of all 5 atoms:
Co 0.5000 0.5000 0.5000  8 Ag 3.16, 4 Ni 3.25
Na 0.0000 0.0000 0.0000  2 Ni 2.17, 4 Ag 2.30
Ag 0.0000 0.0000 0.5000  2 Na 2.30
Ag 0.0000 0.5000 0.0000  2 Na 2.30
Ni 0.5000 0.0000 0.0000  2 Na 2.17

No. 9
Compound: NaCoSi2Ag
Source: Alexandria
Functional: GGA-PBEsol
Structure: relaxed

Summary:
energy relative to the elements, uncorrected = 0.08 eV/atom
uncorrected energy = -4.71 eV per atom
symmetry = P4/mmm, No. 123
magnetization = 0.0001 μB per atom

a = 4.2299 Å, b = 4.2299 Å, c = 5.0246 Å
α = 90.00°, β = 90.00°, γ = 90.00°
Last column: nearest neighbours and their distance in Å.
Fractional coordinates of all 5 atoms:
Co 0.0000 0.0000 0.0000  4 Si 2.11
Ag 0.0000 0.0000 0.5000  2 Co 2.51
Si 0.5000 0.0000 0.0000  2 Co 2.11
Na 0.5000 0.5000 0.5000  4 Ag 2.99, 8 Si 3.28
Si 0.0000 0.5000 0.0000  2 Co 2.11

No. 10
Compound: NbCoAg2
Source: Alexandria
Functional: GGA-PBEsol
Structure: relaxed

Summary:
uncorrected energy = -5.75 eV per atom
symmetry = Fm-3m, No. 225
magnetization = 0.3208 μB per atom
calculated formation energy = 0.544 eV/atom

a = 4.4358 Å, b = 4.4358 Å, c = 4.4358 Å
α = 60.00°, β = 60.00°, γ = 60.00°
Last column: nearest neighbours and their distance in Å.
Fractional coordinates of all 4 atoms:
Ag 0.2500 0.2500 0.2500  4 Nb 2.72, 4 Co 2.72
Co 0.0000 0.0000 0.0000  8 Ag 2.72
Nb 0.5000 0.5000 0.5000  8 Ag 2.72
Ag 0.7500 0.7500 0.7500  4 Nb 2.72, 4 Co 2.72

No. 11
Compound: NbCo2Ag
Source: Alexandria
Functional: GGA-PBEsol
Structure: relaxed

Summary:
uncorrected energy = -7.28 eV per atom
symmetry = Fm-3m, No. 225
magnetization = 0.0001 μB per atom
calculated formation energy = 0.118 eV/atom

a = 4.2153 Å, b = 4.2153 Å, c = 4.2153 Å
α = 60.00°, β = 60.00°, γ = 60.00°
Last column: nearest neighbours and their distance in Å.
Fractional coordinates of all 4 atoms:
Nb 0.0000 0.0000 0.0000  8 Co 2.58
Co 0.7500 0.7500 0.7500  4 Nb 2.58, 4 Ag 2.58
Ag 0.5000 0.5000 0.5000  8 Co 2.58
Co 0.2500 0.2500 0.2500  4 Nb 2.58, 4 Ag 2.58

No. 12
Compound: Co2NiAg
Source: Alexandria
Functional: GGA-PBEsol
Structure: relaxed

Summary:
uncorrected energy = -5.78 eV per atom
symmetry = P4/mmm, No. 123
energy relative to the lowest polymorph listed for this composition = 258 meV per atom
magnetization = 0.9953 μB per atom
calculated formation energy = 0.457 eV/atom

a = 2.6741 Å, b = 4.2636 Å, c = 4.2636 Å
α = 90.00°, β = 90.00°, γ = 90.00°
Last column: nearest neighbours and their distance in Å.
Fractional coordinates of all 4 atoms:
Ag 0.5000 0.0000 0.0000  8 Co 2.52, 2 Ag 2.67
Co 0.0000 0.0000 0.5000  4 Ni 2.52, 4 Ag 2.52, 2 Co 2.67
Ni 0.5000 0.5000 0.5000  8 Co 2.52, 2 Ni 2.67
Co 0.0000 0.5000 0.0000  4 Ni 2.52, 4 Ag 2.52, 2 Co 2.67